[1]
Material: Zn2PRh
Method: DFT, GGA-PBE
State: relaxed

Cell: 3.8336 3.8075 3.8257 Å, 90.00 90.00 90.00°
Last column: nearest neighbours and their distance in Å.
Fractional coordinates of all 4 atoms:
Zn 0.0000 0.0000 0.0000  4 Rh 2.70, 4 P 2.70, 4 Zn 2.71
Rh 0.0000 0.5000 0.5000  8 Zn 2.70, 4 P 2.71
P 0.5000 0.5000 0.0000  8 Zn 2.70, 4 Rh 2.71
Zn 0.5000 0.0000 0.5000  4 P 2.70, 4 Rh 2.70, 4 Zn 2.71

---

[2]
Material: Pm3Tm2Al2
Method: DFT, GGA-PBE
State: relaxed

Cell: 4.6922 3.4117 12.3152 Å, 90.00 79.02 90.00°
Last column: nearest neighbours and their distance in Å.
Fractional coordinates of all 7 atoms:
Pm 0.1347 0.0000 0.7306  3 Pm 3.26-3.41, 4 Al 3.33, 4 Tm 3.40
Pm 0.0000 0.0000 0.0000  4 Pm 3.26-3.41, 8 Al 3.32
Al 0.5671 0.5000 0.8657  3 Al 3.25-3.41, 8 Pm 3.32-3.33, 1 Tm 3.42
Al 0.4329 0.5000 0.1343  3 Al 3.25-3.41, 8 Pm 3.32-3.33, 1 Tm 3.42
Tm 0.2916 0.5000 0.4168  4 Tm 3.09-3.41, 4 Pm 3.40, 1 Al 3.42
Pm 0.8653 0.0000 0.2694  3 Pm 3.26-3.41, 4 Al 3.33, 4 Tm 3.40
Tm 0.7084 0.5000 0.5832  4 Tm 3.09-3.41, 4 Pm 3.40, 1 Al 3.42

---

What are the total DFT energy (no corrections) values for these records? In order: -15.8, -31.0 eV/cell.